No. 1
Density functional theory data (PBE-GGA) for crystalline ScRhSeN2 at its relaxed geometry.

```
ScRhSeN2
1.0
-3.1105 -0.3086 -2.5355
-0.7076 -3.7349 1.3227
-3.2628 1.9516 3.7652
Rh Se Sc N
1 1 1 2
direct
0.5000 0.5000 0.5000
0.0000 0.0000 0.5000
0.0000 0.0000 0.0000
0.0000 0.5000 0.0000
0.5000 0.0000 0.0000
```

* ΔE_f (raw): 4.76 eV per formula unit
* space group: P4/mmm (123)
* calculated density: 4.88 Mg/m³
* crystal system: tetragonal
* distance to the lowest polymorph of the same formula: 0.5534 eV/atom

=====

No. 2
Density functional theory data (PBE-GGA) for crystalline ScRhSeN2 at its relaxed geometry.

```
ScRhSeN2
1.0
-3.7911 -0.6997 0.4992
0.2096 -2.9422 -2.5320
1.0910 -3.1967 3.8050
N Rh Se Sc
2 1 1 1
direct
0.0000 0.5000 0.0000
0.5000 0.0000 0.0000
0.0000 0.0000 0.0000
0.0000 0.0000 0.5000
0.5000 0.5000 0.5000
```

* ΔE_f (raw): 2.00 eV per formula unit
* space group: P4/mmm (123)
* calculated density: 5.50 Mg/m³
* crystal system: tetragonal
* distance to the lowest polymorph of the same formula: 0.0000 eV/atom

=====

No. 3
Density functional theory data (PBE-GGA) for crystalline ScRhSe2N at its relaxed geometry.

```
ScRhSe2N
1.0
-0.5194 -5.0583 -0.2402
2.3903 -0.0321 -4.4944
3.2200 -0.4121 1.7155
Sc Rh N Se
1 1 1 2
direct
0.5000 0.5000 0.5000
0.0000 0.0000 0.0000
0.0000 0.0000 0.5000
0.5000 0.0000 0.0000
0.0000 0.5000 0.0000
```

* ΔE_f (raw): -0.84 eV per formula unit
* space group: P4/mmm (123)
* calculated density: 5.58 Mg/m³
* crystal system: tetragonal
* distance to the lowest polymorph of the same formula: 0.0000 eV/atom

=====

No. 4
Density functional theory data (PBE-GGA) for crystalline ScRhSe2N at its relaxed geometry.

```
ScRhSe2N
1.0
5.1349 0.0000 0.0000
0.0000 5.1349 0.0000
0.0000 0.0000 3.8995
Se Rh Sc N
2 1 1 1
direct
0.0000 0.5000 0.0000
0.5000 0.0000 0.0000
0.5000 0.5000 0.5000
0.0000 0.0000 0.0000
0.0000 0.0000 0.5000
```

* ΔE_f (raw): 2.59 eV per formula unit
* space group: P4/mmm (123)
* calculated density: 5.16 Mg/m³
* crystal system: tetragonal
* distance to the lowest polymorph of the same formula: 0.6876 eV/atom

=====

No. 5
Density functional theory data (PBE-GGA) for crystalline ScTc2RhN at its relaxed geometry.

```
ScTc2RhN
1.0
-2.9174 -1.7169 -2.2816
2.5070 0.1728 -3.3357
1.4657 -3.6998 0.9099
Rh N Sc Tc
1 1 1 2
direct
0.0000 0.5000 0.0000
0.0000 0.0000 0.0000
0.5000 0.5000 0.5000
0.5000 0.0000 0.0000
0.0000 0.0000 0.5000
```

* ΔE_f (raw): -1.49 eV per formula unit
* space group: P4/mmm (123)
* calculated density: 8.54 Mg/m³
* crystal system: tetragonal

=====

No. 6
Density functional theory data (PBE-GGA) for crystalline ScTcRhN2 at its relaxed geometry.

```
ScTcRhN2
1.0
3.8522 0.0000 0.0000
0.0000 5.2230 0.0000
0.0000 0.0000 3.8522
Sc N Rh Tc
1 2 1 1
direct
0.0000 0.5000 0.0000
0.5000 0.0000 0.0000
0.0000 0.0000 0.5000
0.0000 0.0000 0.0000
0.5000 0.5000 0.5000
```

* ΔE_f (raw): 6.86 eV per formula unit
* space group: P4/mmm (123)
* calculated density: 5.87 Mg/m³
* crystal system: tetragonal

=====

No. 7
Density functional theory data (PBE-GGA) for crystalline ScTeRhN2 at its relaxed geometry.

```
ScTeRhN2
1.0
3.9845 0.0000 0.0000
0.0000 3.9845 0.0000
0.0000 0.0000 5.3664
N Te Rh Sc
2 1 1 1
direct
0.0000 0.5000 0.0000
0.5000 0.0000 0.0000
0.0000 0.0000 0.5000
0.0000 0.0000 0.0000
0.5000 0.5000 0.5000
```

* ΔE_f (raw): 3.25 eV per formula unit
* space group: P4/mmm (123)
* calculated density: 5.91 Mg/m³
* crystal system: tetragonal
* distance to the lowest polymorph of the same formula: 0.0000 eV/atom

=====

No. 8
Density functional theory data (PBE-GGA) for crystalline ScTeRhN2 at its relaxed geometry.

```
ScTeRhN2
1.0
4.0259 0.0000 0.0000
0.0000 4.0259 0.0000
0.0000 0.0000 6.0543
Sc N Rh Te
1 2 1 1
direct
0.0000 0.0000 0.0000
0.5000 0.0000 0.0000
0.0000 0.5000 0.0000
0.5000 0.5000 0.5000
0.0000 0.0000 0.5000
```

* ΔE_f (raw): 4.65 eV per formula unit
* space group: P4/mmm (123)
* calculated density: 5.14 Mg/m³
* crystal system: tetragonal
* distance to the lowest polymorph of the same formula: 0.2796 eV/atom

=====

No. 9
Density functional theory data (PBE-GGA) for crystalline Sc2TiRhN at its relaxed geometry.

```
Sc2TiRhN
1.0
-2.0512 3.5896 1.6097
-0.4061 -1.9989 3.9400
3.5033 1.4989 1.1215
Ti Sc Rh N
1 2 1 1
direct
0.0000 0.0000 0.5000
0.0000 0.5000 0.0000
0.5000 0.0000 0.0000
0.5000 0.5000 0.5000
0.0000 0.0000 0.0000
```

* ΔE_f (raw): -5.14 eV per formula unit
* space group: P4/mmm (123)
* calculated density: 5.41 Mg/m³
* crystal system: tetragonal

=====

No. 10
Density functional theory data (PBE-GGA) for crystalline YSc2RhN at its relaxed geometry.

```
YSc2RhN
1.0
4.2880 0.0000 0.0000
0.0000 4.2880 0.0000
0.0000 0.0000 4.9123
Rh Y Sc N
1 1 2 1
direct
0.5000 0.5000 0.5000
0.0000 0.0000 0.5000
0.0000 0.5000 0.0000
0.5000 0.0000 0.0000
0.0000 0.0000 0.0000
```

* ΔE_f (raw): -5.13 eV per formula unit
* space group: P4/mmm (123)
* calculated density: 5.44 Mg/m³
* crystal system: tetragonal

=====

No. 11
Density functional theory data (PBE-GGA) for crystalline RhSeN2 at its relaxed geometry.

```
RhSeN2
1.0
1.8021 0.0000 6.0582
-0.9010 1.5607 6.0582
-0.9010 -1.5607 6.0582
Rh Se N
1 1 2
direct
0.5000 0.5000 0.5000
0.0000 0.0000 0.0000
0.8895 0.8895 0.8895
0.1105 0.1105 0.1105
```

* ΔE_f (raw): 3.29 eV per formula unit
* space group: R-3m (166)
* calculated density: 6.82 Mg/m³
* crystal system: trigonal

=====

No. 12
Density functional theory data (PBE-GGA) for crystalline RhSeN2 at its relaxed geometry.

```
RhSeN2
1.0
5.3385 0.0000 0.0000
0.0000 5.3385 0.0000
2.6693 2.6693 3.8696
Rh N Se
2 4 2
direct
0.7500 0.2500 0.5000
0.0000 0.0000 0.0000
0.0804 0.6250 0.2500
0.6696 0.1250 0.2500
0.3750 0.3304 0.7500
0.8750 0.9196 0.7500
0.5000 0.5000 0.0000
0.2500 0.7500 0.5000
```

* ΔE_f (raw): 4.52 eV per formula unit
* space group: I-42d (122)
* calculated density: 6.32 Mg/m³
* crystal system: tetragonal

=====

> The lowest calculated density belongs to which entry?

number 1

=====

Please write out number 6 again, unchanged.
Density functional theory data (PBE-GGA) for crystalline ScTcRhN2 at its relaxed geometry.

```
ScTcRhN2
1.0
3.8522 0.0000 0.0000
0.0000 5.2230 0.0000
0.0000 0.0000 3.8522
Sc N Rh Tc
1 2 1 1
direct
0.0000 0.5000 0.0000
0.5000 0.0000 0.0000
0.0000 0.0000 0.5000
0.0000 0.0000 0.0000
0.5000 0.5000 0.5000
```

* ΔE_f (raw): 6.86 eV per formula unit
* space group: P4/mmm (123)
* calculated density: 5.87 Mg/m³
* crystal system: tetragonal